Below is an optimized crystal structure of Ce3Ge3Ir2, with properties calculated at the PBE level. Values from VASP.

Output
ΔE_f	-0.840	eV per atom
space-group type	Cmcm, No. 63
relative energy among the computed polymorphs	0	kJ/mol of formula units

Geometry as Quantum ESPRESSO input:
```
&SYSTEM
  ibrav = 0, nat = 16, ntyp = 3
/
ATOMIC_SPECIES
Ge 72.64 Ge.upf
Ce 140.12 Ce.upf
Ir 192.22 Ir.upf
ATOMIC_POSITIONS crystal
Ge 0.671 0.342 0.750
Ce 0.622 0.244 0.250
Ge 0.615 0.231 0.036
Ge 0.385 0.769 0.964
Ce 0.103 0.206 0.606
Ce 0.103 0.206 0.894
Ge 0.615 0.231 0.464
Ce 0.897 0.794 0.394
Ce 0.897 0.794 0.106
Ir 0.822 0.645 0.611
Ir 0.178 0.355 0.389
Ir 0.822 0.645 0.889
Ce 0.378 0.756 0.750
Ge 0.385 0.769 0.536
Ir 0.178 0.355 0.111
Ge 0.329 0.658 0.250
CELL_PARAMETERS angstrom
4.355 0.000 0.000
-2.177 5.245 0.000
0.000 0.000 14.886
```